Below is a relaxed structure of DyHoThAl, with properties calculated at the PBE level.

The formation enthalpy at 0 K is -0.027 eV/atom. The value obtained for the electronic total energy is -5.113 eV per atom.

The structure belongs to space group F-43m (No. 216); the cell edges are 7.595, 7.595 and 7.595 Å and the angles 90.00°, 90.00° and 90.00°. The distinct sites, in fractional coordinates, are Dy at (0.000, 0.000, 0.000), Ho at (0.250, 0.250, 0.250), Th at (0.000, 0.000, 0.500) and Al at (0.250, 0.250, 0.750).

---

Below is a relaxed structure of DyHoTiAl, with properties calculated at the PBE level.

The formation enthalpy at 0 K is -0.054 eV/atom. The value obtained for the electronic total energy is -5.258 eV per atom.

The structure belongs to space group F-43m (No. 216); the cell edges are 7.253, 7.253 and 7.253 Å and the angles 90.00°, 90.00° and 90.00°. The distinct sites, in fractional coordinates, are Dy at (0.000, 0.000, 0.000), Ho at (0.000, 0.000, 0.500), Ti at (0.250, 0.250, 0.250) and Al at (0.250, 0.250, 0.750).

---

Below is a relaxed structure of DyHoAlTl, with properties calculated at the PBE level.

The formation enthalpy at 0 K is -0.357 eV/atom. The value obtained for the electronic total energy is -4.179 eV per atom. As for the relative energy among the computed polymorphs: 0 meV/atom.

The structure belongs to space group P4mm (No. 99); the cell edges are 3.617, 3.617 and 7.744 Å and the angles 90.00°, 90.00° and 90.00°. The distinct sites, in fractional coordinates, are Dy at (0.000, 0.000, 0.000), Ho at (0.000, 0.000, 0.530), Al at (0.500, 0.500, 0.764) and Tl at (0.500, 0.500, 0.267).